No. 1
The following is a PBE calculation of a relaxed structure of Rb2Tl4Cd3Hg, from Alexandria via LeMat-Bulk.

Calculated values
Uncorrected energy   -15.0 eV per formula unit
Mass density   7.31 Mg/m³
Space-group type   P-4m2
Total magnetization   0.000 Bohr magnetons per cell
Crystal system   tetragonal

Cell lengths 5.286, 5.286, 12.413 Å; angles 90.00, 90.00, 90.00 degrees
Element x y z (fractional)
Rb 0.500 0.000 0.253
Rb 0.000 0.500 0.747
Tl 0.500 0.500 0.000
Tl 0.000 0.000 0.000
Tl 0.500 0.000 0.627
Tl 0.000 0.500 0.373
Cd 0.000 0.000 0.500
Cd 0.500 0.000 0.871
Cd 0.000 0.500 0.129
Hg 0.500 0.500 0.500

No. 2
The following is a PBE calculation of a relaxed structure of TlVPd2, from Alexandria via LeMat-Bulk.

Calculated values
Energy above the lowest structure with this stoichiometry   302 meV/atom
Mass density   10.38 Mg/m³
Space-group type   I-42d
Total magnetization   4.489 Bohr magnetons per cell
Crystal system   tetragonal

Cell lengths 7.277, 7.277, 5.872 Å; angles 51.70, 51.70, 90.00 degrees
Element x y z (fractional)
Tl 0.000 0.000 0.000
Tl 0.750 0.250 0.500
Pd 0.593 0.125 0.250
Pd 0.157 0.625 0.250
Pd 0.375 0.407 0.750
Pd 0.875 0.843 0.750
V 0.500 0.500 0.000
V 0.250 0.750 0.500

No. 3
The following is a PBE calculation of a relaxed structure of KLaBe2, from Alexandria via LeMat-Bulk.

Calculated values
Energy above the lowest structure with this stoichiometry   240 meV/atom
Mass density   2.87 Mg/m³
Space-group type   P4/mmm
Total magnetization   0.004 Bohr magnetons per cell
Crystal system   tetragonal

Cell lengths 3.848, 3.848, 7.662 Å; angles 90.00, 90.00, 89.94 degrees
Element x y z (fractional)
Be 0.000 0.000 0.904
Be 0.000 0.000 0.596
K 0.500 0.500 0.250
La 0.500 0.500 0.750

No. 4
The following is a PBE calculation of a relaxed structure of Mn2Sb2Ir, from Alexandria via LeMat-Bulk.

Calculated values
Uncorrected energy   -31.9 eV per formula unit
Mass density   10.17 Mg/m³
Space-group type   I4/mmm
Total magnetization   2.305 Bohr magnetons per cell
Crystal system   tetragonal

Cell lengths 5.092, 5.092, 5.092 Å; angles 122.81, 122.81, 85.20 degrees
Element x y z (fractional)
Mn 0.631 0.631 0.000
Mn 0.369 0.369 0.000
Sb 0.250 0.750 0.500
Sb 0.750 0.250 0.500
Ir 0.000 0.000 0.000

No. 5
The following is a PBE calculation of a relaxed structure of TlGe2Au3, from Alexandria via LeMat-Bulk.

Calculated values
Uncorrected energy   -21.6 eV per formula unit
Mass density   10.48 Mg/m³
Space-group type   Pmmn
Total magnetization   0.000 Bohr magnetons per cell
Crystal system   orthorhombic

Cell lengths 4.797, 4.937, 12.587 Å; angles 89.99, 90.00, 90.00 degrees
Element x y z (fractional)
Tl 0.250 0.791 0.250
Tl 0.750 0.209 0.750
Ge 0.250 0.644 0.948
Ge 0.750 0.356 0.052
Ge 0.750 0.356 0.448
Ge 0.250 0.644 0.552
Au 0.750 0.385 0.250
Au 0.250 0.615 0.750
Au 0.750 0.849 0.986
Au 0.250 0.151 0.014
Au 0.250 0.151 0.486
Au 0.750 0.849 0.514

No. 6
The following is a PBE calculation of a relaxed structure of BaAl3, from Alexandria via LeMat-Bulk.

Calculated values
Uncorrected energy   -13.1 eV per formula unit
Mass density   3.29 Mg/m³
Space-group type   Pmm2
Total magnetization   0.000 Bohr magnetons per cell
Crystal system   orthorhombic

Cell lengths 3.790, 4.170, 6.970 Å; angles 90.00, 90.00, 90.00 degrees
Element x y z (fractional)
Ba 0.000 0.500 0.318
Al 0.000 0.000 0.895
Al 0.500 0.000 0.604
Al 0.500 0.500 0.851

No. 7
The following is a PBE calculation of a relaxed structure of BaNa2Th, from Alexandria via LeMat-Bulk.

Calculated values
Uncorrected energy   -10.3 eV per formula unit
Mass density   4.42 Mg/m³
Space-group type   R-3m
Total magnetization   0.000 Bohr magnetons per cell
Crystal system   trigonal

Cell lengths 3.573, 3.573, 14.260 Å; angles 82.80, 82.80, 60.00 degrees
Element x y z (fractional)
Na 0.084 0.084 0.747
Na 0.916 0.916 0.253
Ba 0.500 0.500 0.500
Th 0.000 0.000 0.000

No. 8
The following is a PBE calculation of a relaxed structure of YAsAuSe2, from Alexandria via LeMat-Bulk.

Calculated values
Energy above the lowest structure with this stoichiometry   0 meV/atom
Mass density   6.69 Mg/m³
Space-group type   P4/mmm
Total magnetization   0.000 Bohr magnetons per cell
Crystal system   tetragonal

Cell lengths 5.112, 5.112, 4.928 Å; angles 90.00, 90.00, 90.00 degrees
Element x y z (fractional)
Y 0.500 0.500 0.500
As 0.000 0.000 0.500
Au 0.000 0.000 0.000
Se 0.000 0.500 0.000
Se 0.500 0.000 0.000

No. 9
The following is a PBE calculation of a relaxed structure of SrRhPb2, from Alexandria via LeMat-Bulk.

Calculated values
Uncorrected energy   -16.9 eV per formula unit
Mass density   9.28 Mg/m³
Space-group type   P4mm
Total magnetization   0.000 Bohr magnetons per cell
Crystal system   tetragonal

Cell lengths 3.742, 3.739, 7.738 Å; angles 90.00, 90.00, 90.00 degrees
Element x y z (fractional)
Pb 0.000 0.000 0.037
Pb 0.500 0.500 0.301
Rh 0.000 0.000 0.442
Sr 0.500 0.500 0.721

No. 10
The following is a PBE calculation of a relaxed structure of Tl2TcSe, from Alexandria via LeMat-Bulk.

Calculated values
Energy above the lowest structure with this stoichiometry   251 meV/atom
Mass density   8.11 Mg/m³
Space-group type   P2/m
Total magnetization   0.000 Bohr magnetons per cell
Crystal system   monoclinic

Cell lengths 4.378, 6.319, 6.326 Å; angles 43.27, 90.00, 90.00 degrees
Element x y z (fractional)
Se 0.500 0.250 0.250
Tc 0.500 0.750 0.750
Tl 0.000 0.902 0.902
Tl 0.000 0.598 0.598

No. 11
The following is a PBE calculation of a relaxed structure of Ce12Re3N5, from Alexandria via LeMat-Bulk.

Calculated values
Uncorrected energy   -160.5 eV per formula unit
Mass density   8.44 Mg/m³
Space-group type   Ia-3d
Total magnetization   36.627 Bohr magnetons per cell
Crystal system   cubic

Cell lengths 13.315, 13.315, 13.315 Å; angles 109.47, 109.47, 109.47 degrees
Element x y z (fractional)
Re 0.750 0.375 0.125
Re 0.875 0.750 0.125
Re 0.375 0.750 0.625
Re 0.250 0.125 0.375
Re 0.875 0.125 0.250
Re 0.375 0.625 0.250
Re 0.625 0.375 0.750
Re 0.125 0.875 0.750
Re 0.750 0.875 0.625
Re 0.625 0.250 0.375
Re 0.125 0.250 0.875
Re 0.250 0.625 0.875
Ce 0.706 0.121 0.026
Ce 0.320 0.526 0.405
Ce 0.974 0.379 0.294
Ce 0.526 0.206 0.121
Ce 0.585 0.706 0.680
Ce 0.974 0.595 0.180
Ce 0.320 0.794 0.415
Ce 0.095 0.915 0.121
Ce 0.595 0.974 0.680
Ce 0.706 0.585 0.180
Ce 0.794 0.474 0.379
Ce 0.820 0.905 0.026
Ce 0.121 0.706 0.526
Ce 0.379 0.405 0.085
Ce 0.085 0.905 0.379
Ce 0.415 0.121 0.595
Ce 0.085 0.180 0.206
Ce 0.474 0.680 0.095
Ce 0.820 0.915 0.294
Ce 0.121 0.415 0.095
Ce 0.379 0.974 0.794
Ce 0.595 0.621 0.415
Ce 0.905 0.820 0.526
Ce 0.794 0.320 0.915
Ce 0.405 0.379 0.585
Ce 0.095 0.180 0.474
Ce 0.206 0.680 0.085
Ce 0.180 0.085 0.706
Ce 0.621 0.026 0.206
Ce 0.879 0.585 0.905
Ce 0.526 0.320 0.905
Ce 0.585 0.879 0.405
Ce 0.915 0.820 0.794
Ce 0.915 0.095 0.621
Ce 0.879 0.294 0.474
Ce 0.180 0.095 0.974
Ce 0.621 0.595 0.915
Ce 0.405 0.026 0.320
Ce 0.294 0.415 0.820
Ce 0.206 0.526 0.621
Ce 0.905 0.085 0.879
Ce 0.680 0.206 0.585
Ce 0.474 0.794 0.879
Ce 0.026 0.405 0.820
Ce 0.415 0.294 0.320
Ce 0.026 0.621 0.706
Ce 0.680 0.474 0.595
Ce 0.294 0.879 0.974
N 0.125 0.375 0.250
N 0.000 0.500 0.000
N 0.000 0.000 0.000
N 0.375 0.250 0.125
N 0.500 0.000 0.500
N 0.500 0.500 0.000
N 0.125 0.750 0.375
N 0.750 0.125 0.875
N 0.750 0.625 0.375
N 0.375 0.125 0.750
N 0.625 0.875 0.250
N 0.500 0.500 0.500
N 0.500 0.000 0.000
N 0.000 0.000 0.500
N 0.250 0.375 0.625
N 0.250 0.875 0.125
N 0.000 0.500 0.500
N 0.875 0.250 0.625
N 0.625 0.750 0.875
N 0.875 0.625 0.750

No. 12
The following is a PBE calculation of a relaxed structure of Y3InO, from Alexandria via LeMat-Bulk.

Calculated values
Uncorrected energy   -32.3 eV per formula unit
Mass density   4.24 Mg/m³
Space-group type   R-3c
Total magnetization   3.960 Bohr magnetons per cell
Crystal system   trigonal

Cell lengths 8.372, 8.372, 8.372 Å; angles 49.45, 49.45, 49.45 degrees
Element x y z (fractional)
Y 0.946 0.554 0.250
Y 0.554 0.250 0.946
Y 0.250 0.946 0.554
Y 0.750 0.054 0.446
Y 0.446 0.750 0.054
Y 0.054 0.446 0.750
O 0.250 0.250 0.250
O 0.750 0.750 0.750
In 0.000 0.000 0.000
In 0.500 0.500 0.500

Which value of total magnetization does entry 3 give?
0.004 Bohr magnetons per cell